{"formula": "Zr2Tc3Ir", "functional": "GGA-PBE", "state": "relaxed", "lattice_angstrom": [[-3.552, 0.576, 3.693], [0.559, -4.558, -2.345], [5.195, -0.083, 1.410]], "species": ["Zr", "Zr", "Tc", "Tc", "Tc", "Ir"], "fractional_positions": [[0.756, 0.378, 0.134], [0.244, 0.622, 0.866], [0.500, 0.500, 0.500], [0.000, 0.000, 0.500], [0.500, 0.000, 0.500], [0.000, 0.000, 0.000]], "mass_density_g_cm3": 10.74, "sg": "R-3m", "delta_e_f_ev_per_fu": -2.56}



{"formula": "KBaAs", "functional": "GGA-PBE", "state": "relaxed", "lattice_angstrom": [[-3.198, 4.071, -2.086], [-6.454, -4.405, 1.299], [-0.982, 4.441, 10.175]], "species": ["K", "K", "K", "K", "Ba", "Ba", "Ba", "Ba", "As", "As", "As", "As"], "fractional_positions": [[0.750, 0.026, 0.104], [0.250, 0.526, 0.396], [0.250, 0.974, 0.896], [0.750, 0.474, 0.604], [0.750, 0.522, 0.140], [0.250, 0.022, 0.360], [0.250, 0.478, 0.860], [0.750, 0.978, 0.640], [0.750, 0.786, 0.373], [0.250, 0.286, 0.127], [0.250, 0.214, 0.627], [0.750, 0.714, 0.873]], "mass_density_g_cm3": 3.39, "sg": "Pnma", "delta_e_f_ev_per_fu": -2.36}



{"formula": "LiPuGa2", "functional": "GGA-PBE", "state": "relaxed", "lattice_angstrom": [[2.971, 0.000, 0.000], [0.000, 3.528, 0.000], [0.000, 0.000, 7.075]], "species": ["Li", "Pu", "Ga", "Ga"], "fractional_positions": [[0.500, 0.500, 0.250], [0.500, 0.500, 0.750], [0.000, 0.000, 0.047], [0.000, 0.000, 0.453]], "de_polymorph_mev_per_atom": 0.0, "mass_density_g_cm3": 8.74, "sg": "Pmmm", "delta_e_f_ev_per_fu": -1.28}



{"formula": "V7Ga3Ru", "functional": "GGA-PBE", "state": "relaxed", "lattice_angstrom": [[-1.042, 0.764, 2.289], [-7.463, -6.081, -2.878], [5.551, -9.512, 5.701]], "species": ["V", "V", "V", "V", "V", "V", "V", "V", "V", "V", "V", "V", "V", "V", "Ga", "Ga", "Ga", "Ga", "Ga", "Ga", "Ru", "Ru"], "fractional_positions": [[0.389, 0.778, 0.750], [0.611, 0.222, 0.250], [0.535, 0.069, 0.411], [0.465, 0.931, 0.589], [0.465, 0.931, 0.911], [0.535, 0.069, 0.089], [0.407, 0.815, 0.401], [0.593, 0.185, 0.599], [0.281, 0.561, 0.413], [0.719, 0.439, 0.587], [0.719, 0.439, 0.913], [0.281, 0.561, 0.087], [0.408, 0.815, 0.099], [0.592, 0.185, 0.901], [0.152, 0.304, 0.430], [0.848, 0.696, 0.570], [0.161, 0.323, 0.750], [0.839, 0.677, 0.250], [0.152, 0.304, 0.070], [0.848, 0.696, 0.930], [0.978, 0.955, 0.250], [0.022, 0.045, 0.750]], "mass_density_g_cm3": 6.82, "sg": "Cmcm", "delta_e_f_ev_per_fu": 0.72}



{"formula": "Mg2SiHg", "functional": "GGA-PBE", "state": "relaxed", "lattice_angstrom": [[3.808, 0.000, 0.000], [0.000, 3.221, -0.012], [0.000, 3.154, 6.379]], "species": ["Hg", "Mg", "Mg", "Si"], "fractional_positions": [[0.500, 0.750, 0.750], [0.000, 0.985, 0.017], [0.000, 0.515, 0.483], [0.500, 0.250, 0.250]], "mass_density_g_cm3": 5.87, "formation_energy_uncorrected_mev_per_atom": -25, "sg": "P2/m"}



{"formula": "Li2Ce2As2O", "functional": "GGA-PBE", "state": "relaxed", "lattice_angstrom": [[-1.045, -0.006, 4.086], [3.881, -1.320, 0.991], [0.864, 7.819, -1.944]], "species": ["Li", "Li", "Ce", "Ce", "As", "As", "O"], "fractional_positions": [[0.000, 0.500, 0.000], [0.500, 0.000, 0.000], [0.155, 0.155, 0.309], [0.845, 0.845, 0.691], [0.362, 0.362, 0.723], [0.638, 0.638, 0.277], [0.000, 0.000, 0.000]], "mass_density_g_cm3": 5.70, "formation_energy_uncorrected_mev_per_atom": -1596, "sg": "I4/mmm"}



{"formula": "Pm8Ge3SBr4", "functional": "GGA-PBE", "state": "relaxed", "lattice_angstrom": [[8.419, 0.000, 0.000], [0.000, 8.748, 0.227], [-4.210, -4.208, 5.955]], "species": ["Pm", "Pm", "Pm", "Pm", "Pm", "Pm", "Pm", "Pm", "Ge", "Ge", "Ge", "S", "Br", "Br", "Br", "Br"], "fractional_positions": [[0.231, 0.707, 0.976], [0.231, 0.707, 0.462], [0.262, 0.287, 0.525], [0.745, 0.707, 0.976], [0.255, 0.293, 0.024], [0.738, 0.713, 0.475], [0.769, 0.293, 0.538], [0.769, 0.293, 0.024], [0.500, 0.500, 0.000], [0.500, 0.500, 0.500], [0.000, 0.500, 0.500], [0.000, 0.500, 0.000], [0.500, 0.000, 0.000], [0.500, 0.000, 0.500], [0.000, 0.000, 0.000], [0.000, 0.000, 0.500]], "mass_density_g_cm3": 6.43, "formation_energy_uncorrected_mev_per_atom": -1271, "sg": "R-3m"}



{"formula": "ZrRuPb3", "functional": "GGA-PBE", "state": "relaxed", "lattice_angstrom": [[5.216, 0.000, 0.000], [0.000, 5.216, 0.000], [0.000, 0.000, 5.216]], "species": ["Pb", "Pb", "Pb", "Ru", "Zr"], "fractional_positions": [[0.000, 0.500, 0.000], [0.000, 0.000, 0.500], [0.500, 0.000, 0.000], [0.000, 0.000, 0.000], [0.500, 0.500, 0.500]], "de_polymorph_mev_per_atom": 0.0, "mass_density_g_cm3": 9.52, "sg": "Pm-3m", "delta_e_f_ev_per_fu": 3.73}



{"formula": "AcBeSbPd6", "functional": "GGA-PBE", "state": "relaxed", "lattice_angstrom": [[6.863, 0.000, 0.000], [0.000, 8.447, 0.000], [-3.432, -4.224, 5.759]], "species": ["Ac", "Ac", "Be", "Be", "Sb", "Sb", "Pd", "Pd", "Pd", "Pd", "Pd", "Pd", "Pd", "Pd", "Pd", "Pd", "Pd", "Pd"], "fractional_positions": [[0.713, 0.463, 0.426], [0.287, 0.537, 0.574], [0.500, 0.500, 0.000], [0.500, 0.000, 0.000], [0.500, 0.000, 0.500], [0.000, 0.000, 0.500], [0.570, 0.820, 0.140], [0.015, 0.265, 0.030], [0.903, 0.117, 0.234], [0.331, 0.617, 0.234], [0.331, 0.117, 0.234], [0.903, 0.617, 0.234], [0.430, 0.180, 0.860], [0.985, 0.735, 0.970], [0.097, 0.883, 0.766], [0.669, 0.383, 0.766], [0.669, 0.883, 0.766], [0.097, 0.383, 0.766]], "mass_density_g_cm3": 9.91, "formation_energy_uncorrected_mev_per_atom": -414, "sg": "Imma"}



{"formula": "Rb2TeOsO6", "functional": "GGA-PBE", "state": "relaxed", "lattice_angstrom": [[5.521, 0.000, 0.001], [0.000, 5.521, 0.001], [2.762, 2.762, 5.686]], "species": ["Rb", "Rb", "Te", "Os", "O", "O", "O", "O", "O", "O"], "fractional_positions": [[0.750, 0.250, 0.500], [0.250, 0.750, 0.500], [0.000, 0.000, 0.000], [0.500, 0.500, 0.000], [0.163, 0.163, 0.674], [0.742, 0.742, 0.000], [0.258, 0.742, 0.000], [0.742, 0.258, 0.000], [0.258, 0.258, 0.000], [0.837, 0.837, 0.326]], "mass_density_g_cm3": 5.60, "formation_energy_uncorrected_mev_per_atom": -1061, "sg": "I4/mmm"}



{"formula": "ZnNi5Pt6", "functional": "GGA-PBE", "state": "relaxed", "lattice_angstrom": [[8.250, -0.373, 0.000], [1.976, 3.338, 0.000], [0.988, 1.669, 5.797]], "species": ["Zn", "Ni", "Ni", "Ni", "Ni", "Ni", "Pt", "Pt", "Pt", "Pt", "Pt", "Pt"], "fractional_positions": [[0.000, 0.000, 0.000], [0.500, 0.166, 0.668], [0.000, 0.332, 0.337], [0.500, 0.500, 0.000], [0.000, 0.668, 0.663], [0.500, 0.834, 0.332], [0.749, 0.084, 0.335], [0.251, 0.581, 0.335], [0.255, 0.245, 0.000], [0.745, 0.755, 0.000], [0.749, 0.419, 0.665], [0.251, 0.916, 0.665]], "mass_density_g_cm3": 15.50, "sg": "Cmmm", "delta_e_f_ev_per_fu": -2.01}



{"formula": "AlCuAgW2", "functional": "GGA-PBE", "state": "relaxed", "lattice_angstrom": [[-0.415, -4.350, -2.091], [-1.683, -1.685, 3.840], [-4.476, 1.132, -1.465]], "species": ["Cu", "Ag", "W", "W", "Al"], "fractional_positions": [[0.000, 0.500, 0.000], [0.000, 0.000, 0.000], [0.000, 0.000, 0.500], [0.500, 0.000, 0.000], [0.500, 0.500, 0.500]], "mass_density_g_cm3": 8.87, "sg": "P4/mmm", "delta_e_f_ev_per_fu": 11.43}